Entry 1:
# PBE In3GaB, relaxed
data_In3GaB
_space_group_name_H-M_alt 'P 1'
_space_group_IT_number 1
_space_group_name_Hall 'P 1'
_cell_length_a 5.291
_cell_length_b 5.291
_cell_length_c 5.291
_cell_angle_alpha 90.00
_cell_angle_beta 90.00
_cell_angle_gamma 90.00
loop_
_atom_site_label
_atom_site_fract_x
_atom_site_fract_y
_atom_site_fract_z
Ga1 0.000 0.000 0.000
In1 0.500 0.000 0.000
In2 0.000 0.500 0.000
In3 0.000 0.000 0.500
B1 0.500 0.500 0.500
# DFT formation energy in eV per atom: 1.198
# Energy above the most stable polymorph in this dataset in meV/atom: 667
# SG: Pm-3m, No. 221
# Magnetization in μB per cell: 0.00

***

Entry 2:
# PBE ZrAsW4, relaxed
data_ZrAsW4
_space_group_name_H-M_alt 'P 1'
_space_group_IT_number 1
_space_group_name_Hall 'P 1'
_cell_length_a 5.362
_cell_length_b 5.362
_cell_length_c 5.362
_cell_angle_alpha 60.00
_cell_angle_beta 60.00
_cell_angle_gamma 60.00
loop_
_atom_site_label
_atom_site_fract_x
_atom_site_fract_y
_atom_site_fract_z
W1 0.375 0.375 0.375
W2 0.375 0.375 0.875
W3 0.875 0.375 0.375
W4 0.375 0.875 0.375
As1 0.000 0.000 0.000
Zr1 0.750 0.750 0.750
# DFT formation energy in eV per atom: 0.361
# SG: F-43m, No. 216
# Magnetization in μB per cell: 0.00

***

Entry 3:
# PBE Pr4AgAu7, relaxed
data_Pr4AgAu7
_space_group_name_H-M_alt 'P 1'
_space_group_IT_number 1
_space_group_name_Hall 'P 1'
_cell_length_a 5.141
_cell_length_b 8.766
_cell_length_c 7.819
_cell_angle_alpha 68.71
_cell_angle_beta 70.81
_cell_angle_gamma 72.95
loop_
_atom_site_label
_atom_site_fract_x
_atom_site_fract_y
_atom_site_fract_z
Au1 0.500 0.000 0.000
Au2 0.668 0.454 0.210
Au3 0.192 0.015 0.602
Au4 0.808 0.985 0.398
Au5 0.901 0.357 0.842
Au6 0.332 0.546 0.790
Au7 0.099 0.643 0.158
Ag1 0.000 0.000 0.000
Pr1 0.271 0.262 0.195
Pr2 0.438 0.750 0.375
Pr3 0.562 0.250 0.625
Pr4 0.729 0.738 0.805
# DFT formation energy in eV per atom: -0.583
# SG: C2/m, No. 12
# Magnetization in μB per cell: 0.00

***

Entry 4:
# PBE SrLaCo3, relaxed
data_SrLaCo3
_space_group_name_H-M_alt 'P 1'
_space_group_IT_number 1
_space_group_name_Hall 'P 1'
_cell_length_a 4.751
_cell_length_b 4.751
_cell_length_c 4.751
_cell_angle_alpha 90.00
_cell_angle_beta 90.00
_cell_angle_gamma 90.00
loop_
_atom_site_label
_atom_site_fract_x
_atom_site_fract_y
_atom_site_fract_z
Sr1 0.500 0.500 0.500
Co1 0.000 0.500 0.000
Co2 0.000 0.000 0.500
Co3 0.500 0.000 0.000
La1 0.000 0.000 0.000
# DFT formation energy in eV per atom: 1.002
# Energy above the most stable polymorph in this dataset in meV/atom: 0
# SG: Pm-3m, No. 221
# Magnetization in μB per cell: 0.16